An optimized crystal structure of La6TlIr2I3. Source: Alexandria, functional GGA-PBE.

Geometry as POSCAR:
```
La6TlIr2I3
1.0
10.3328 -2.1644 0.0000
10.3328 2.1644 0.0000
-3.2421 0.0000 9.1884
La Tl Ir I
6 1 2 3
direct
0.0269 0.0269 0.2557
0.3161 0.3161 0.4447
0.3353 0.3353 0.8608
0.6647 0.6647 0.1392
0.6839 0.6839 0.5553
0.9731 0.9731 0.7443
0.5000 0.5000 0.0000
0.1706 0.1706 0.3434
0.8294 0.8294 0.6566
0.1610 0.1610 0.8396
0.5000 0.5000 0.5000
0.8390 0.8390 0.1604
```

Computed properties:
As for the volume: 411.0 Å³/cell. The electronic total energy is -5.49 eV/atom. The total magnetization is 0.00 μB/f.u. Its space-group type is No. 12.

***

An optimized crystal structure of La2TmIr2I2. Source: Alexandria, functional GGA-PBE.

Geometry as POSCAR:
```
La2TmIr2I2
1.0
-2.5771 2.5771 8.3971
2.5771 -2.5771 8.3971
2.5771 2.5771 -8.3971
La Tm Ir I
2 1 2 2
direct
0.1034 0.1034 0.0000
0.8966 0.8966 0.0000
0.5000 0.5000 0.0000
0.0000 0.5000 0.5000
0.5000 0.0000 0.5000
0.3101 0.3101 0.0000
0.6899 0.6899 0.0000
```

Computed properties:
As for the volume: 223.1 Å³/cell. The electronic total energy is -5.80 eV/atom. The total magnetization is 0.00 μB/f.u. Its space-group type is No. 139.

***

An optimized crystal structure of LaTmIrI. Source: Alexandria, functional GGA-PBE.

Geometry as POSCAR:
```
LaTmIrI
1.0
2.0802 1.2010 8.0740
-2.0802 1.2010 8.0740
0.0000 -2.4020 8.0740
La Tm Ir I
1 1 1 1
direct
0.0000 0.0000 0.0000
0.2132 0.2132 0.2132
0.6028 0.6028 0.6028
0.7780 0.7780 0.7780
```

Computed properties:
As for the volume: 121.0 Å³/cell. The electronic total energy is -5.97 eV/atom. The total magnetization is 0.00 μB/f.u. Its space-group type is No. 160.